# CeMg3Ga2, relaxed, DFT GGA-PBE
# * relative energy among the computed polymorphs: 0 meV/atom
# * calculated density: 4.37 g/cm³
# * calculated formation energy: -0.282 eV per atom
data_CeMg3Ga2
_chemical_formula_sum 'Ce4 Mg12 Ga8'
_cell_length_a 16.482
_cell_length_b 4.493
_cell_length_c 8.176
_cell_angle_alpha 90.00
_cell_angle_beta 117.81
_cell_angle_gamma 90.00
_symmetry_space_group_name_H-M 'C 1 2/m 1'
_symmetry_Int_Tables_number 12
loop_
_symmetry_equiv_pos_as_xyz
'x,y,z'
'-x,-y,-z'
'-x,y,-z'
'x,-y,z'
'x+1/2,y+1/2,z'
'-x+1/2,-y+1/2,-z'
'-x+1/2,y+1/2,-z'
'x+1/2,-y+1/2,z'
loop_
_atom_site_label
_atom_site_fract_x
_atom_site_fract_y
_atom_site_fract_z
Ce1 0.140 0.000 0.065
Mg1 0.047 0.000 0.378
Mg2 0.111 0.500 0.722
Mg3 0.188 0.500 0.458
Ga1 0.017 0.500 0.162
Ga2 0.212 0.000 0.741